A geometry-optimized As2SBrO structure, computed with PBE-GGA.

Geometry as extended XYZ:
```
5
Lattice="-3.552 -1.567 -2.221 2.449 -3.431 -1.496 -1.231 -2.509 3.739" Properties=species:S:1:pos:R:3 pbc="T T T"
O 0.000 0.000 0.000
As 1.224 -1.715 -0.748
As -1.776 -0.783 -1.110
S -1.167 -3.753 0.011
Br -0.615 -1.254 1.869
```

Summary:
energy above the most stable polymorph in this dataset = 0 kJ/mol of formula units
space group = P4/mmm, No. 123
formation energy without anion corrections = 349 kJ/mol of formula units